VASP calculation (PBE-GGA) on an optimized crystal structure of CsCu4.

Output
ΔE_f: 2.041 eV/atom
Theoretical density: 4024 kg/m³

Geometry as CIF:
```
data_CsCu4
_chemical_formula_sum 'Cs1 Cu4'
_symmetry_space_group_name_H-M 'P m -3 m'
_symmetry_Int_Tables_number 221
_symmetry_space_group_name_Hall '-P 4 2 3'
_cell_length_a 5.426
_cell_length_b 5.426
_cell_length_c 5.426
_cell_angle_alpha 90.00
_cell_angle_beta 90.00
_cell_angle_gamma 90.00
loop_
_atom_site_label
_atom_site_type_symbol
_atom_site_fract_x
_atom_site_fract_y
_atom_site_fract_z
Cs1 Cs 0.000 0.000 0.000
Cu1 Cu 0.000 0.000 0.500
Cu2 Cu 0.500 0.500 0.500
```